Entry 1:
{
  "formula": "Zr3Se",
  "functional": "PBE-GGA",
  "state": "optimized geometry",
  "relative_energy_ev_per_fu": 5.27,
  "density_g_cm3": 4.55,
  "e_form_raw_mev_per_atom": 618,
  "energy_ev_per_cell": -26.66,
  "magnetic_moment_mub_per_atom": 0.000,
  "lattice": [[-3.4420, 1.9037, 3.1642], [3.1544, -0.7330, 3.8724], [1.9198, 4.6176, -0.6897]],
  "species": ["Se", "Zr", "Zr", "Zr"],
  "fractional_positions": [[0.0000, 0.0000, 0.0000], [0.5000, 0.0000, 0.0000], [0.0000, 0.5000, 0.0000], [0.0000, 0.0000, 0.5000]]
}


Entry 2:
{
  "formula": "Zr2Se",
  "functional": "PBE-GGA",
  "state": "optimized geometry",
  "density_g_cm3": 6.63,
  "e_form_raw_mev_per_atom": -766,
  "energy_ev_per_cell": -45.76,
  "magnetic_moment_mub_per_atom": 0.000,
  "lattice": [[-2.7136, 2.7136, 4.4477], [2.7136, -2.7136, 4.4477], [2.7136, 2.7136, -4.4477]],
  "species": ["Zr", "Zr", "Zr", "Zr", "Se", "Se"],
  "fractional_positions": [[0.5574, 0.0574, 0.5000], [0.1926, 0.1926, 0.0000], [0.9426, 0.4426, 0.5000], [0.8074, 0.8074, 0.0000], [0.2500, 0.7500, 0.5000], [0.5000, 0.5000, 0.0000]]
}


Entry 3:
{
  "formula": "ZrSe",
  "functional": "PBE-GGA",
  "state": "optimized geometry",
  "density_g_cm3": 5.07,
  "e_form_raw_mev_per_atom": -949,
  "energy_ev_per_cell": -83.58,
  "magnetic_moment_mub_per_atom": 0.000,
  "lattice": [[9.1453, 0.0000, 0.0000], [-4.5727, 7.9201, 0.0000], [0.0000, 0.0000, 4.6136]],
  "species": ["Zr", "Zr", "Zr", "Zr", "Zr", "Zr", "Se", "Se", "Se", "Se", "Se", "Se"],
  "fractional_positions": [[0.8773, 0.3461, 0.2500], [0.5312, 0.8773, 0.7500], [0.6539, 0.5312, 0.2500], [0.1227, 0.6539, 0.7500], [0.4688, 0.1227, 0.2500], [0.3461, 0.4688, 0.7500], [0.6861, 0.0005, 0.2500], [0.6856, 0.6861, 0.7500], [0.9995, 0.6856, 0.2500], [0.3139, 0.9995, 0.7500], [0.3144, 0.3139, 0.2500], [0.0005, 0.3144, 0.7500]]
}


Please write out number 2 again, unchanged.
{
  "formula": "Zr2Se",
  "functional": "PBE-GGA",
  "state": "optimized geometry",
  "density_g_cm3": 6.63,
  "e_form_raw_mev_per_atom": -766,
  "energy_ev_per_cell": -45.76,
  "magnetic_moment_mub_per_atom": 0.000,
  "lattice": [[-2.7136, 2.7136, 4.4477], [2.7136, -2.7136, 4.4477], [2.7136, 2.7136, -4.4477]],
  "species": ["Zr", "Zr", "Zr", "Zr", "Se", "Se"],
  "fractional_positions": [[0.5574, 0.0574, 0.5000], [0.1926, 0.1926, 0.0000], [0.9426, 0.4426, 0.5000], [0.8074, 0.8074, 0.0000], [0.2500, 0.7500, 0.5000], [0.5000, 0.5000, 0.0000]]
}